Record 1
! LiAgAu meta-GGA SCAN single point on PBEsol structure; values from VASP
! * total moment: 0.00 μB per cell
! * energy relative to the lowest polymorph listed for this composition: 0.050 eV/atom
! * DFT formation energy: -0.31 eV per atom
! * crystal system: orthorhombic
&SYSTEM
  ibrav = 0, nat = 12, ntyp = 3
/
ATOMIC_SPECIES
Li 6.94 Li.upf
Ag 107.87 Ag.upf
Au 196.97 Au.upf
CELL_PARAMETERS angstrom
3.988 0.000 0.000
0.000 4.021 0.000
0.000 0.000 11.631
ATOMIC_POSITIONS crystal
Li 0.000 0.000 0.000
Li 0.000 0.500 0.500
Li 0.500 0.000 0.500
Li 0.500 0.500 0.000
Ag 0.000 0.000 0.334
Ag 0.000 0.500 0.834
Ag 0.500 0.000 0.834
Ag 0.500 0.500 0.334
Au 0.000 0.000 0.653
Au 0.000 0.500 0.153
Au 0.500 0.000 0.153
Au 0.500 0.500 0.653

Record 2
! LiAg2Au meta-GGA SCAN single point on PBEsol structure; values from VASP
! * total moment: 0.00 μB per cell
! * DFT formation energy: -0.22 eV per atom
! * crystal system: tetragonal
&SYSTEM
  ibrav = 0, nat = 4, ntyp = 3
/
ATOMIC_SPECIES
Li 6.94 Li.upf
Ag 107.87 Ag.upf
Au 196.97 Au.upf
CELL_PARAMETERS angstrom
3.038 0.000 0.000
0.000 3.038 0.000
0.000 0.000 6.758
ATOMIC_POSITIONS crystal
Li 0.000 0.000 0.000
Ag 0.000 0.000 0.507
Ag 0.500 0.500 0.236
Au 0.500 0.500 0.785

Record 3
! LiAg2Au meta-GGA SCAN single point on PBEsol structure; values from VASP
! * total moment: 0.00 μB per cell
! * DFT formation energy: -0.28 eV per atom
! * crystal system: tetragonal
&SYSTEM
  ibrav = 0, nat = 8, ntyp = 3
/
ATOMIC_SPECIES
Li 6.94 Li.upf
Ag 107.87 Ag.upf
Au 196.97 Au.upf
CELL_PARAMETERS angstrom
3.981 0.000 0.000
0.000 3.981 0.000
0.000 0.000 8.040
ATOMIC_POSITIONS crystal
Li 0.000 0.000 0.000
Li 0.500 0.500 0.500
Ag 0.000 0.000 0.500
Ag 0.000 0.500 0.750
Ag 0.500 0.000 0.250
Ag 0.500 0.500 0.000
Au 0.000 0.500 0.250
Au 0.500 0.000 0.750

Record 4
! LiAg2Au meta-GGA SCAN single point on PBEsol structure; values from VASP
! * total moment: 0.00 μB per cell
! * DFT formation energy: -0.26 eV per atom
! * crystal system: orthorhombic
&SYSTEM
  ibrav = 0, nat = 4, ntyp = 3
/
ATOMIC_SPECIES
Li 6.94 Li.upf
Ag 107.87 Ag.upf
Au 196.97 Au.upf
CELL_PARAMETERS angstrom
2.818 0.000 0.000
0.000 4.012 0.000
0.000 0.000 5.662
ATOMIC_POSITIONS crystal
Li 0.000 0.000 0.000
Ag 0.000 0.000 0.507
Ag 0.500 0.500 0.258
Au 0.500 0.500 0.771